[1]
Density functional theory data (GGA-PBE) for an optimized crystal structure of GaReH4.

Geometry as POSCAR:
```
GaReH4
1.0
4.949 -2.095 0.000
4.949 2.095 0.000
-0.014 0.000 5.908
Ga Re H
2 2 8
direct
0.000 0.000 0.000
0.000 0.000 0.500
0.468 0.469 0.750
0.531 0.532 0.250
0.073 0.598 0.750
0.402 0.927 0.250
0.446 0.221 0.606
0.447 0.221 0.893
0.475 0.250 0.249
0.750 0.525 0.751
0.779 0.553 0.107
0.779 0.554 0.394
```

Properties
Calculated total energy, eV per atom: -4.60



[2]
Density functional theory data (GGA-PBE) for an optimized crystal structure of ZrMn2P.

Geometry as POSCAR:
```
ZrMn2P
1.0
6.160 0.000 0.000
0.000 6.160 0.000
0.000 0.000 6.160
Zr Mn P
4 8 4
direct
0.000 0.000 0.000
0.000 0.500 0.500
0.500 0.000 0.500
0.500 0.500 0.000
0.000 0.000 0.500
0.000 0.500 0.000
0.250 0.250 0.250
0.250 0.750 0.750
0.500 0.000 0.000
0.500 0.500 0.500
0.750 0.250 0.750
0.750 0.750 0.250
0.250 0.250 0.750
0.250 0.750 0.250
0.750 0.250 0.250
0.750 0.750 0.750
```

Properties
Formation energy, eV per atom: -0.054



[3]
Density functional theory data (GGA-PBE) for an optimized crystal structure of Ir4PtBr.

Geometry as POSCAR:
```
Ir4PtBr
1.0
0.000 3.707 3.707
3.707 0.000 3.707
3.707 3.707 0.000
Ir Pt Br
4 1 1
direct
0.125 0.125 0.125
0.125 0.125 0.625
0.125 0.625 0.125
0.625 0.125 0.125
0.500 0.500 0.500
0.750 0.750 0.750
```

Properties
Formation energy from raw total energies, eV per atom: 1.080



[4]
Density functional theory data (GGA-PBE) for an optimized crystal structure of BaZrSO2.

Geometry as POSCAR:
```
BaZrSO2
1.0
4.291 0.000 0.000
0.000 4.291 0.000
0.000 0.000 5.167
Ba Zr S O
1 1 1 2
direct
0.000 0.000 0.000
0.500 0.500 0.500
0.500 0.500 0.000
0.000 0.500 0.500
0.500 0.000 0.500
```

Properties
Formation energy from raw total energies, eV per atom: -2.621



[5]
Density functional theory data (GGA-PBE) for an optimized crystal structure of Tb4NdHg5.

Geometry as POSCAR:
```
Tb4NdHg5
1.0
3.756 0.000 0.000
0.000 3.756 0.000
0.000 0.000 18.805
Tb Nd Hg
4 1 5
direct
0.000 0.000 0.099
0.000 0.000 0.297
0.000 0.000 0.703
0.000 0.000 0.901
0.000 0.000 0.500
0.500 0.500 0.000
0.500 0.500 0.198
0.500 0.500 0.392
0.500 0.500 0.608
0.500 0.500 0.802
```

Properties
Formation energy, eV per atom: -0.478



[6]
Density functional theory data (GGA-PBE) for an optimized crystal structure of BeNi5B2Pt2.

Geometry as POSCAR:
```
BeNi5B2Pt2
1.0
8.334 0.000 0.000
0.000 8.334 0.000
0.000 0.000 3.000
Be Ni B Pt
2 10 4 4
direct
0.000 0.000 0.000
0.500 0.500 0.000
0.000 0.500 0.500
0.057 0.210 0.500
0.210 0.943 0.500
0.290 0.443 0.500
0.443 0.710 0.500
0.500 0.000 0.500
0.557 0.290 0.500
0.710 0.557 0.500
0.790 0.057 0.500
0.943 0.790 0.500
0.130 0.370 0.000
0.370 0.870 0.000
0.630 0.130 0.000
0.870 0.630 0.000
0.183 0.683 0.000
0.317 0.183 0.000
0.683 0.817 0.000
0.817 0.317 0.000
```

Properties
Formation energy, eV per atom: -0.233



[7]
Density functional theory data (GGA-PBE) for an optimized crystal structure of SnHBr.

Geometry as POSCAR:
```
SnHBr
1.0
6.005 0.000 0.000
2.914 5.410 0.000
1.376 2.671 5.404
Sn H Br
2 2 2
direct
0.125 0.355 0.318
0.875 0.645 0.682
0.192 0.508 0.500
0.808 0.492 0.500
0.257 0.883 0.751
0.743 0.117 0.249
```

Properties
Polymorph energy (0 for the lowest one), meV per atom: 25



[8]
Density functional theory data (GGA-PBE) for an optimized crystal structure of TbPm2Si.

Geometry as POSCAR:
```
TbPm2Si
1.0
4.700 0.000 0.000
0.000 4.700 0.000
0.000 0.000 4.747
Tb Pm Si
1 2 1
direct
0.000 0.000 0.000
0.000 0.500 0.500
0.500 0.000 0.500
0.500 0.500 0.000
```

Properties
Formation energy from raw total energies, eV per atom: -0.255
Polymorph energy (0 for the lowest one), meV per atom: 0